1.
Density functional theory data (PBE) for In2SbTeRh after structural relaxation.

As for the energy relative to the elements, uncorrected: -0.7 eV per formula unit. The space group is P4/mmm (123).

CIF file:
```
data_In2SbTeRh
_chemical_formula_sum 'In2 Sb1 Te1 Rh1'
_cell_length_a 5.224
_cell_length_b 5.224
_cell_length_c 5.074
_cell_angle_alpha 90.00
_cell_angle_beta 90.00
_cell_angle_gamma 90.00
_space_group_name_H-M_alt 'P 1'
_space_group_IT_number 1
loop_
_space_group_symop_operation_xyz
'x,y,z'
loop_
_atom_site_label
_atom_site_type_symbol
_atom_site_fract_x
_atom_site_fract_y
_atom_site_fract_z
In1 In 0.000 0.500 0.000
In2 In 0.500 0.000 0.000
Sb1 Sb 0.000 0.000 0.500
Te1 Te 0.500 0.500 0.500
Rh1 Rh 0.000 0.000 0.000
```

2.
Density functional theory data (PBE) for InSbTe2Rh after structural relaxation.

As for the energy relative to the elements, uncorrected: 0.9 eV per formula unit. The space group is P4/mmm (123).

CIF file:
```
data_InSbTe2Rh
_chemical_formula_sum 'In1 Sb1 Te2 Rh1'
_cell_length_a 5.511
_cell_length_b 5.511
_cell_length_c 4.940
_cell_angle_alpha 90.00
_cell_angle_beta 90.00
_cell_angle_gamma 90.00
_space_group_name_H-M_alt 'P 1'
_space_group_IT_number 1
loop_
_space_group_symop_operation_xyz
'x,y,z'
loop_
_atom_site_label
_atom_site_type_symbol
_atom_site_fract_x
_atom_site_fract_y
_atom_site_fract_z
In1 In 0.000 0.000 0.000
Sb1 Sb 0.500 0.500 0.000
Te1 Te 0.000 0.500 0.500
Te2 Te 0.500 0.000 0.500
Rh1 Rh 0.500 0.500 0.500
```

3.
Density functional theory data (PBE) for InSb2TeRh after structural relaxation.

As for the energy relative to the elements, uncorrected: 6.3 eV per formula unit. The space group is P4/mmm (123).

CIF file:
```
data_InSb2TeRh
_chemical_formula_sum 'In1 Sb2 Te1 Rh1'
_cell_length_a 5.476
_cell_length_b 5.476
_cell_length_c 5.566
_cell_angle_alpha 90.00
_cell_angle_beta 90.00
_cell_angle_gamma 90.00
_space_group_name_H-M_alt 'P 1'
_space_group_IT_number 1
loop_
_space_group_symop_operation_xyz
'x,y,z'
loop_
_atom_site_label
_atom_site_type_symbol
_atom_site_fract_x
_atom_site_fract_y
_atom_site_fract_z
In1 In 0.000 0.000 0.000
Sb1 Sb 0.000 0.500 0.000
Sb2 Sb 0.500 0.000 0.000
Te1 Te 0.000 0.000 0.500
Rh1 Rh 0.500 0.500 0.500
```

4.
Density functional theory data (PBE) for TlInSbRh2 after structural relaxation.

As for the energy relative to the elements, uncorrected: 3.0 eV per formula unit. The space group is P4/mmm (123).

CIF file:
```
data_TlInSbRh2
_chemical_formula_sum 'Tl1 In1 Sb1 Rh2'
_cell_length_a 4.940
_cell_length_b 4.940
_cell_length_c 5.663
_cell_angle_alpha 90.00
_cell_angle_beta 90.00
_cell_angle_gamma 90.00
_space_group_name_H-M_alt 'P 1'
_space_group_IT_number 1
loop_
_space_group_symop_operation_xyz
'x,y,z'
loop_
_atom_site_label
_atom_site_type_symbol
_atom_site_fract_x
_atom_site_fract_y
_atom_site_fract_z
Tl1 Tl 0.000 0.000 0.000
In1 In 0.500 0.500 0.000
Sb1 Sb 0.500 0.500 0.500
Rh1 Rh 0.000 0.500 0.500
Rh2 Rh 0.500 0.000 0.500
```

5.
Density functional theory data (PBE) for Sc5In4Rh after structural relaxation.

For the total energy, the calculation gives -5.5528 eV/atom. The space group is P4/mmm (123).

CIF file:
```
data_Sc5In4Rh
_chemical_formula_sum 'Sc5 In4 Rh1'
_cell_length_a 3.287
_cell_length_b 3.287
_cell_length_c 19.830
_cell_angle_alpha 90.00
_cell_angle_beta 90.00
_cell_angle_gamma 90.00
_space_group_name_H-M_alt 'P 1'
_space_group_IT_number 1
loop_
_space_group_symop_operation_xyz
'x,y,z'
loop_
_atom_site_label
_atom_site_type_symbol
_atom_site_fract_x
_atom_site_fract_y
_atom_site_fract_z
Sc1 Sc 0.000 0.000 0.000
Sc2 Sc 0.000 0.000 0.210
Sc3 Sc 0.000 0.000 0.421
Sc4 Sc 0.000 0.000 0.579
Sc5 Sc 0.000 0.000 0.790
In1 In 0.500 0.500 0.105
In2 In 0.500 0.500 0.314
In3 In 0.500 0.500 0.686
In4 In 0.500 0.500 0.895
Rh1 Rh 0.500 0.500 0.500
```

6.
Density functional theory data (PBE) for Sc3InRh4 after structural relaxation.

For the total energy, the calculation gives -7.3254 eV/atom. The space group is R-3m (166).

CIF file:
```
data_Sc3InRh4
_chemical_formula_sum 'Sc3 In1 Rh4'
_cell_length_a 7.898
_cell_length_b 7.898
_cell_length_c 7.898
_cell_angle_alpha 33.56
_cell_angle_beta 33.56
_cell_angle_gamma 33.56
_space_group_name_H-M_alt 'P 1'
_space_group_IT_number 1
loop_
_space_group_symop_operation_xyz
'x,y,z'
loop_
_atom_site_label
_atom_site_type_symbol
_atom_site_fract_x
_atom_site_fract_y
_atom_site_fract_z
Sc1 Sc 0.000 0.000 0.000
Sc2 Sc 0.248 0.248 0.248
Sc3 Sc 0.752 0.752 0.752
In1 In 0.500 0.500 0.500
Rh1 Rh 0.122 0.122 0.122
Rh2 Rh 0.373 0.373 0.373
Rh3 Rh 0.627 0.627 0.627
Rh4 Rh 0.878 0.878 0.878
```

7.
Density functional theory data (PBE) for Sc50In3Rh13 after structural relaxation.

For the total energy, the calculation gives -6.8799 eV/atom. The space group is Fm-3 (202).

CIF file:
```
data_Sc50In3Rh13
_chemical_formula_sum 'Sc50 In3 Rh13'
_cell_length_a 12.557
_cell_length_b 12.557
_cell_length_c 12.557
_cell_angle_alpha 60.00
_cell_angle_beta 60.00
_cell_angle_gamma 60.00
_space_group_name_H-M_alt 'P 1'
_space_group_IT_number 1
loop_
_space_group_symop_operation_xyz
'x,y,z'
loop_
_atom_site_label
_atom_site_type_symbol
_atom_site_fract_x
_atom_site_fract_y
_atom_site_fract_z
Sc1 Sc 0.007 0.507 0.808
Sc2 Sc 0.007 0.678 0.507
Sc3 Sc 0.007 0.808 0.678
Sc4 Sc 0.090 0.090 0.090
Sc5 Sc 0.090 0.090 0.729
Sc6 Sc 0.090 0.729 0.090
Sc7 Sc 0.192 0.322 0.993
Sc8 Sc 0.192 0.493 0.322
Sc9 Sc 0.192 0.993 0.493
Sc10 Sc 0.212 0.212 0.788
Sc11 Sc 0.212 0.788 0.212
Sc12 Sc 0.212 0.788 0.788
Sc13 Sc 0.261 0.448 0.552
Sc14 Sc 0.261 0.552 0.739
Sc15 Sc 0.261 0.739 0.448
Sc16 Sc 0.271 0.910 0.910
Sc17 Sc 0.322 0.192 0.493
Sc18 Sc 0.322 0.493 0.993
Sc19 Sc 0.322 0.993 0.192
Sc20 Sc 0.448 0.261 0.739
Sc21 Sc 0.448 0.552 0.261
Sc22 Sc 0.448 0.739 0.552
Sc23 Sc 0.493 0.192 0.993
Sc24 Sc 0.493 0.322 0.192
Sc25 Sc 0.493 0.993 0.322
Sc26 Sc 0.507 0.007 0.678
Sc27 Sc 0.507 0.678 0.808
Sc28 Sc 0.507 0.808 0.007
Sc29 Sc 0.552 0.261 0.448
Sc30 Sc 0.552 0.448 0.739
Sc31 Sc 0.552 0.739 0.261
Sc32 Sc 0.678 0.007 0.808
Sc33 Sc 0.678 0.507 0.007
Sc34 Sc 0.678 0.808 0.507
Sc35 Sc 0.729 0.090 0.090
Sc36 Sc 0.739 0.261 0.552
Sc37 Sc 0.739 0.448 0.261
Sc38 Sc 0.739 0.552 0.448
Sc39 Sc 0.788 0.212 0.212
Sc40 Sc 0.788 0.212 0.788
Sc41 Sc 0.788 0.788 0.212
Sc42 Sc 0.808 0.007 0.507
Sc43 Sc 0.808 0.507 0.678
Sc44 Sc 0.808 0.678 0.007
Sc45 Sc 0.910 0.271 0.910
Sc46 Sc 0.910 0.910 0.271
Sc47 Sc 0.910 0.910 0.910
Sc48 Sc 0.993 0.192 0.322
Sc49 Sc 0.993 0.322 0.493
Sc50 Sc 0.993 0.493 0.192
In1 In 0.250 0.250 0.250
In2 In 0.500 0.500 0.500
In3 In 0.750 0.750 0.750
Rh1 Rh 0.000 0.000 0.000
Rh2 Rh 0.063 0.370 0.630
Rh3 Rh 0.063 0.630 0.937
Rh4 Rh 0.063 0.937 0.370
Rh5 Rh 0.370 0.063 0.937
Rh6 Rh 0.370 0.630 0.063
Rh7 Rh 0.370 0.937 0.630
Rh8 Rh 0.630 0.063 0.370
Rh9 Rh 0.630 0.370 0.937
Rh10 Rh 0.630 0.937 0.063
Rh11 Rh 0.937 0.063 0.630
Rh12 Rh 0.937 0.370 0.063
Rh13 Rh 0.937 0.630 0.370
```

8.
Density functional theory data (PBE) for Sc3InRh after structural relaxation.

For the total energy, the calculation gives -6.1261 eV/atom. The space group is Pm-3m (221).

CIF file:
```
data_Sc3InRh
_chemical_formula_sum 'Sc3 In1 Rh1'
_cell_length_a 4.995
_cell_length_b 4.995
_cell_length_c 4.995
_cell_angle_alpha 90.00
_cell_angle_beta 90.00
_cell_angle_gamma 90.00
_space_group_name_H-M_alt 'P 1'
_space_group_IT_number 1
loop_
_space_group_symop_operation_xyz
'x,y,z'
loop_
_atom_site_label
_atom_site_type_symbol
_atom_site_fract_x
_atom_site_fract_y
_atom_site_fract_z
Sc1 Sc 0.000 0.000 0.500
Sc2 Sc 0.000 0.500 0.000
Sc3 Sc 0.500 0.000 0.000
In1 In 0.500 0.500 0.500
Rh1 Rh 0.000 0.000 0.000
```

| no. | D(E_F) (states/eV/atom) |
| --- | --- |
| 1 | 0.327 |
| 2 | 1.169 |
| 3 | 1.146 |
| 4 | 1.263 |
| 5 | 0.325 |
| 6 | 0.265 |
| 7 | 0.644 |
| 8 | 0.705 |